Entry from Alexandria: a relaxed structure of BeAgRh2 (GGA-PBE).

abc: 3.673 3.673 9.382
angles: 78.71 78.71 90.00
Atoms (fractional coordinates):
1 Be 0.500 0.500 0.000
2 Be 0.250 0.750 0.500
3 Rh 0.602 0.125 0.250
4 Rh 0.148 0.625 0.250
5 Rh 0.375 0.398 0.750
6 Rh 0.875 0.852 0.750
7 Ag 0.000 0.000 0.000
8 Ag 0.750 0.250 0.500

DOS at the Fermi energy (states/eV/f.u.): 4.61
Energy relative to the elements (eV per atom): 0.49


Entry from Alexandria: a relaxed structure of Na2PmSmTe4 (GGA-PBE).

abc: 4.512 7.812 8.013
angles: 108.98 90.00 90.00
Atoms (fractional coordinates):
1 Na 0.500 0.000 0.500
2 Na 0.000 0.500 0.500
3 Pm 0.500 0.500 0.000
4 Sm 0.000 0.000 0.000
5 Te 0.500 0.245 0.237
6 Te 0.500 0.755 0.763
7 Te 0.000 0.253 0.763
8 Te 0.000 0.747 0.237

Uncorrected formation energy (eV/atom): -1.329


Entry from Alexandria: a relaxed structure of Ac4AuSeS2 (GGA-PBE).

abc: 4.353 7.715 7.743
angles: 70.99 90.00 90.00
Atoms (fractional coordinates):
1 Ac 0.000 0.763 0.747
2 Ac 0.000 0.237 0.253
3 Ac 0.500 0.757 0.250
4 Ac 0.500 0.243 0.750
5 Au 0.000 0.500 0.500
6 Se 0.500 0.500 0.000
7 S 0.000 0.000 0.000
8 S 0.500 0.000 0.500

Uncorrected formation energy (eV/atom): -1.631
DOS at the Fermi energy (states/eV/f.u.): 6.50


Entry from Alexandria: a relaxed structure of Th2Al5Ag4 (GGA-PBE).

abc: 5.589 5.512 9.145
angles: 81.09 72.21 59.54
Atoms (fractional coordinates):
1 Th 0.893 0.000 0.215
2 Th 0.107 0.000 0.785
3 Al 0.500 0.000 0.000
4 Al 0.000 0.500 0.000
5 Al 0.500 0.500 0.000
6 Al 0.250 0.500 0.500
7 Al 0.750 0.500 0.500
8 Ag 0.792 0.680 0.736
9 Ag 0.208 0.320 0.264
10 Ag 0.528 0.680 0.264
11 Ag 0.472 0.320 0.736

DOS at the Fermi energy (states/eV/f.u.): 4.80
Energy relative to the elements (eV per atom): -0.20


| no. | spin magnetization (Bohr magnetons per cell) | calculated volume (A^3/atom) | E_tot (Ry/atom) |
| --- | --- | --- | --- |
| 1 | 1.4 | 15.2 | -0.3551 |
| 2 | 0.0 | 33.4 | -0.3243 |
| 3 | 0.0 | 30.7 | -0.4088 |
| 4 | 0.0 | 21.0 | -0.3152 |